Record 1
Computed, not measured: a relaxed Mg2TcPt crystal at the PBE-GGA level of DFT. Values from VASP.

Summary:
symmetry: Pm, No. 6

The structure in Quantum ESPRESSO input format:
```
&SYSTEM
  ibrav = 0, nat = 4, ntyp = 3
/
ATOMIC_SPECIES
Mg 24.30 Mg.upf
Tc 98.00 Tc.upf
Pt 195.08 Pt.upf
ATOMIC_POSITIONS angstrom
Mg 0.000 0.000 0.000
Mg 1.384 2.071 4.079
Tc 2.786 0.000 2.703
Pt 1.392 2.071 1.354
CELL_PARAMETERS angstrom
2.796 0.000 0.000
0.000 4.142 0.000
-0.010 0.000 5.621
```



Record 2
Computed, not measured: a relaxed Mg2TcPt crystal at the PBE-GGA level of DFT. Values from VASP.

Summary:
symmetry: P2/m, No. 10

The structure in Quantum ESPRESSO input format:
```
&SYSTEM
  ibrav = 0, nat = 4, ntyp = 3
/
ATOMIC_SPECIES
Mg 24.30 Mg.upf
Tc 98.00 Tc.upf
Pt 195.08 Pt.upf
ATOMIC_POSITIONS angstrom
Mg 0.485 0.000 1.311
Mg 1.683 0.000 3.979
Tc 1.377 2.202 0.000
Pt -0.293 2.202 2.645
CELL_PARAMETERS angstrom
2.754 0.000 0.000
0.000 4.404 0.000
-0.587 0.000 5.290
```



Record 3
Computed, not measured: a relaxed MgTcPt3 crystal at the PBE-GGA level of DFT. Values from VASP.

Summary:
symmetry: Pm-3m, No. 221

The structure in Quantum ESPRESSO input format:
```
&SYSTEM
  ibrav = 0, nat = 5, ntyp = 3
/
ATOMIC_SPECIES
Mg 24.30 Mg.upf
Tc 98.00 Tc.upf
Pt 195.08 Pt.upf
ATOMIC_POSITIONS angstrom
Mg 0.000 0.000 0.000
Tc 2.408 2.408 2.408
Pt 0.000 2.408 2.408
Pt 2.408 0.000 2.408
Pt 2.408 2.408 0.000
CELL_PARAMETERS angstrom
4.816 0.000 0.000
0.000 4.816 0.000
0.000 0.000 4.816
```



Record 4
Computed, not measured: a relaxed MgTcPt3 crystal at the PBE-GGA level of DFT. Values from VASP.

Summary:
symmetry: Pm-3m, No. 221

The structure in Quantum ESPRESSO input format:
```
&SYSTEM
  ibrav = 0, nat = 5, ntyp = 3
/
ATOMIC_SPECIES
Mg 24.30 Mg.upf
Tc 98.00 Tc.upf
Pt 195.08 Pt.upf
ATOMIC_POSITIONS angstrom
Mg 0.000 0.000 0.000
Tc 2.288 2.288 2.288
Pt 0.000 0.000 2.288
Pt 0.000 2.288 0.000
Pt 2.288 0.000 0.000
CELL_PARAMETERS angstrom
4.575 0.000 0.000
0.000 4.575 0.000
0.000 0.000 4.575
```



Record 5
Computed, not measured: a relaxed Mg2TcPt crystal at the PBE-GGA level of DFT. Values from VASP.

Summary:
symmetry: F-43m, No. 216

The structure in Quantum ESPRESSO input format:
```
&SYSTEM
  ibrav = 0, nat = 4, ntyp = 3
/
ATOMIC_SPECIES
Mg 24.30 Mg.upf
Tc 98.00 Tc.upf
Pt 195.08 Pt.upf
ATOMIC_POSITIONS angstrom
Mg 0.000 0.000 0.000
Mg 1.606 1.606 1.606
Tc 4.819 4.819 4.819
Pt 3.212 3.212 3.212
CELL_PARAMETERS angstrom
0.000 3.212 3.212
3.212 0.000 3.212
3.212 3.212 0.000
```



Record 6
Computed, not measured: a relaxed Mg2TcPt crystal at the PBE-GGA level of DFT. Values from VASP.

Summary:
symmetry: Pmmm, No. 47

The structure in Quantum ESPRESSO input format:
```
&SYSTEM
  ibrav = 0, nat = 4, ntyp = 3
/
ATOMIC_SPECIES
Mg 24.30 Mg.upf
Tc 98.00 Tc.upf
Pt 195.08 Pt.upf
ATOMIC_POSITIONS angstrom
Mg 0.000 0.000 1.486
Mg 0.000 0.000 4.730
Tc 1.408 1.828 3.108
Pt 1.408 1.828 0.000
CELL_PARAMETERS angstrom
2.816 0.000 0.000
0.000 3.655 0.000
0.000 0.000 6.216
```



Record 7
Computed, not measured: a relaxed MgTcPt crystal at the PBE-GGA level of DFT. Values from VASP.

Summary:
symmetry: F-43m, No. 216

The structure in Quantum ESPRESSO input format:
```
&SYSTEM
  ibrav = 0, nat = 3, ntyp = 3
/
ATOMIC_SPECIES
Mg 24.30 Mg.upf
Tc 98.00 Tc.upf
Pt 195.08 Pt.upf
ATOMIC_POSITIONS angstrom
Mg 0.000 0.000 0.000
Tc 3.027 3.027 3.027
Pt 1.513 1.513 1.513
CELL_PARAMETERS angstrom
0.000 3.027 3.027
3.027 0.000 3.027
3.027 3.027 0.000
```



Record 8
Computed, not measured: a relaxed MgTc3Pt crystal at the PBE-GGA level of DFT. Values from VASP.

Summary:
symmetry: Pm-3m, No. 221

The structure in Quantum ESPRESSO input format:
```
&SYSTEM
  ibrav = 0, nat = 5, ntyp = 3
/
ATOMIC_SPECIES
Mg 24.30 Mg.upf
Tc 98.00 Tc.upf
Pt 195.08 Pt.upf
ATOMIC_POSITIONS angstrom
Mg 0.000 0.000 0.000
Tc 0.000 2.385 2.385
Tc 2.385 0.000 2.385
Tc 2.385 2.385 0.000
Pt 2.385 2.385 2.385
CELL_PARAMETERS angstrom
4.770 0.000 0.000
0.000 4.770 0.000
0.000 0.000 4.770
```



Record 9
Computed, not measured: a relaxed Mg2TcPt crystal at the PBE-GGA level of DFT. Values from VASP.

Summary:
symmetry: P4mm, No. 99

The structure in Quantum ESPRESSO input format:
```
&SYSTEM
  ibrav = 0, nat = 4, ntyp = 3
/
ATOMIC_SPECIES
Mg 24.30 Mg.upf
Tc 98.00 Tc.upf
Pt 195.08 Pt.upf
ATOMIC_POSITIONS angstrom
Mg 0.000 0.000 0.000
Mg 1.595 1.595 2.014
Tc 1.595 1.595 5.046
Pt 0.000 0.000 3.568
CELL_PARAMETERS angstrom
3.190 0.000 0.000
0.000 3.190 0.000
0.000 0.000 6.663
```



Record 10
Computed, not measured: a relaxed MgTcPt crystal at the PBE-GGA level of DFT. Values from VASP.

Summary:
symmetry: I4mm, No. 107

The structure in Quantum ESPRESSO input format:
```
&SYSTEM
  ibrav = 0, nat = 3, ntyp = 3
/
ATOMIC_SPECIES
Mg 24.30 Mg.upf
Tc 98.00 Tc.upf
Pt 195.08 Pt.upf
ATOMIC_POSITIONS angstrom
Mg 0.000 0.000 0.000
Tc 0.000 0.000 8.201
Pt 0.000 0.000 3.994
CELL_PARAMETERS angstrom
-1.401 1.401 6.045
1.401 -1.401 6.045
1.401 1.401 -6.045
```



Record 11
Computed, not measured: a relaxed MgTcPt crystal at the PBE-GGA level of DFT. Values from VASP.

Summary:
symmetry: P3m1, No. 156

The structure in Quantum ESPRESSO input format:
```
&SYSTEM
  ibrav = 0, nat = 3, ntyp = 3
/
ATOMIC_SPECIES
Mg 24.30 Mg.upf
Tc 98.00 Tc.upf
Pt 195.08 Pt.upf
ATOMIC_POSITIONS angstrom
Mg 0.000 0.000 0.000
Tc 1.413 0.816 4.479
Pt 0.000 1.631 2.282
CELL_PARAMETERS angstrom
2.825 0.000 0.000
-1.413 2.447 0.000
0.000 0.000 6.852
```



Record 12
Computed, not measured: a relaxed Mg2TcPt crystal at the PBE-GGA level of DFT. Values from VASP.

Summary:
symmetry: Fm-3m, No. 225

The structure in Quantum ESPRESSO input format:
```
&SYSTEM
  ibrav = 0, nat = 4, ntyp = 3
/
ATOMIC_SPECIES
Mg 24.30 Mg.upf
Tc 98.00 Tc.upf
Pt 195.08 Pt.upf
ATOMIC_POSITIONS angstrom
Mg 1.588 1.588 1.588
Mg 4.764 4.764 4.764
Tc 0.000 0.000 0.000
Pt 3.176 3.176 3.176
CELL_PARAMETERS angstrom
0.000 3.176 3.176
3.176 0.000 3.176
3.176 3.176 0.000
```



Number 1: formation energy -43 kJ/mol of formula units. Number 2: formation energy -50 kJ/mol of formula units. Number 3: formation energy 379 kJ/mol of formula units. Number 4: formation energy 520 kJ/mol of formula units. Number 5: formation energy -28 kJ/mol of formula units. Number 6: formation energy -67 kJ/mol of formula units. Number 7: formation energy 39 kJ/mol of formula units. Number 8: formation energy 815 kJ/mol of formula units. Number 9: formation energy -24 kJ/mol of formula units. Number 10: formation energy -53 kJ/mol of formula units. Number 11: formation energy -16 kJ/mol of formula units. Number 12: formation energy -33 kJ/mol of formula units.